# Rb2Mg2Tl5 | Alexandria via LeMat-Bulk | PBE | optimized geometry
data_Rb2Mg2Tl5
_cell_length_a 8.096
_cell_length_b 8.049
_cell_length_c 10.498
_cell_angle_alpha 112.54
_cell_angle_beta 90.00
_cell_angle_gamma 90.00
_symmetry_space_group_name_H-M 'P 1'
_symmetry_Int_Tables_number 1
_symmetry_space_group_name_Hall 'P 1'
loop_
_atom_site_label
_atom_site_type_symbol
_atom_site_fract_x
_atom_site_fract_y
_atom_site_fract_z
Mg1 Mg 0.363 0.138 0.000
Mg2 Mg 0.137 0.638 0.000
Mg3 Mg 0.863 0.362 0.000
Mg4 Mg 0.637 0.862 0.000
Rb1 Rb 0.000 0.782 0.564
Rb2 Rb 0.000 0.218 0.436
Rb3 Rb 0.500 0.718 0.436
Rb4 Rb 0.500 0.282 0.564
Tl1 Tl 0.159 0.238 0.793
Tl2 Tl 0.000 0.000 0.000
Tl3 Tl 0.659 0.262 0.207
Tl4 Tl 0.841 0.555 0.793
Tl5 Tl 0.500 0.500 0.000
Tl6 Tl 0.341 0.945 0.207
Tl7 Tl 0.159 0.445 0.207
Tl8 Tl 0.659 0.055 0.793
Tl9 Tl 0.841 0.762 0.207
Tl10 Tl 0.341 0.738 0.793
# Energy of formation in eV per formula unit: -0.4
# Magnetization in μB per cell: 0.00


# Ca4Sn2N | Alexandria via LeMat-Bulk | PBE | optimized geometry
data_Ca4Sn2N
_cell_length_a 4.978
_cell_length_b 4.978
_cell_length_c 8.528
_cell_angle_alpha 73.03
_cell_angle_beta 73.03
_cell_angle_gamma 90.00
_symmetry_space_group_name_H-M 'P 1'
_symmetry_Int_Tables_number 1
_symmetry_space_group_name_Hall 'P 1'
loop_
_atom_site_label
_atom_site_type_symbol
_atom_site_fract_x
_atom_site_fract_y
_atom_site_fract_z
Ca1 Ca 0.000 0.500 0.000
Ca2 Ca 0.155 0.155 0.690
Ca3 Ca 0.845 0.845 0.310
Ca4 Ca 0.500 0.000 0.000
N1 N 0.000 0.000 0.000
Sn1 Sn 0.367 0.367 0.266
Sn2 Sn 0.633 0.633 0.734
# Formation energy (no corrections) in eV/atom: -0.6080
# Excess energy over the best structure of this formula in the dataset in eV per atom: 0.000
# Magnetization in μB per cell: 0.00


# LaCuSbTe2 | Alexandria via LeMat-Bulk | PBE | optimized geometry
data_LaCuSbTe2
_cell_length_a 5.302
_cell_length_b 5.302
_cell_length_c 5.031
_cell_angle_alpha 90.00
_cell_angle_beta 90.00
_cell_angle_gamma 90.00
_symmetry_space_group_name_H-M 'P 1'
_symmetry_Int_Tables_number 1
_symmetry_space_group_name_Hall 'P 1'
loop_
_atom_site_label
_atom_site_type_symbol
_atom_site_fract_x
_atom_site_fract_y
_atom_site_fract_z
La1 La 0.500 0.500 0.500
Cu1 Cu 0.000 0.000 0.000
Sb1 Sb 0.000 0.000 0.500
Te1 Te 0.500 0.000 0.000
Te2 Te 0.000 0.500 0.000
# Formation energy (no corrections) in eV/atom: -0.3917
# Excess energy over the best structure of this formula in the dataset in eV per atom: 0.000
# Magnetization in μB per cell: 0.00